Entry 1:
First-principles (PBE-GGA) data for a relaxed structure of Sm2Al2Rh5Pb, as listed in Alexandria via LeMat-Bulk.

E_form = -0.75 eV/atom
size of the total moment = 0.000 μB/atom
energy = -0.2386 hartree per atom
N(E_F) = 5.66 states/eV per cell
SG = P4/mbm

```
Sm2Al2Rh5Pb
1.0
-2.594 -2.252 1.102
4.569 -0.923 8.866
-5.253 7.771 3.516
Sm Al Rh Pb
4 4 10 2
Direct
0.000 0.677 0.177
0.000 0.323 0.823
0.000 0.177 0.323
0.000 0.823 0.677
0.000 0.119 0.619
0.000 0.881 0.381
0.000 0.619 0.881
0.000 0.381 0.119
0.500 0.215 0.069
0.500 0.785 0.931
0.500 0.069 0.785
0.500 0.715 0.431
0.500 0.931 0.215
0.500 0.285 0.569
0.500 0.569 0.715
0.500 0.431 0.285
0.500 0.500 0.000
0.500 0.000 0.500
0.000 0.000 0.000
0.000 0.500 0.500
```

Entry 2:
First-principles (PBE-GGA) data for a relaxed structure of YRuSe2, as listed in Alexandria via LeMat-Bulk.

size of the total moment = 0.000 μB/atom
energy = -0.2361 hartree per atom
N(E_F) = 3.32 states/eV per cell
SG = Pm

```
YRuSe2
1.0
4.510 0.000 0.000
0.000 3.736 0.051
0.000 1.755 5.192
Ru Se Y
1 2 1
Direct
0.500 0.921 0.788
0.000 0.855 0.916
0.500 0.153 0.314
0.000 0.570 0.481
```

Entry 3:
First-principles (PBE-GGA) data for a relaxed structure of Nd6ScCd5, as listed in Alexandria via LeMat-Bulk.

E_form = -0.24 eV/atom
size of the total moment = 0.006 μB/atom
energy = -0.1297 hartree per atom
N(E_F) = 15.80 states/eV per cell
SG = P2/m

```
Nd6ScCd5
1.0
-4.186 -0.527 -3.448
-3.736 -4.283 5.190
-1.357 7.069 4.857
Sc Nd Cd
1 6 5
Direct
0.000 0.000 0.000
0.833 0.752 0.662
0.833 0.248 0.662
0.500 0.258 0.000
0.500 0.742 0.000
0.167 0.752 0.338
0.167 0.248 0.338
0.664 0.500 0.332
0.344 0.000 0.685
0.000 0.500 0.000
0.656 0.000 0.315
0.336 0.500 0.668
```

Q: Among the records above, which one has the highest size of the total moment?
A: Nd6ScCd5